(1)
The following is a PBE calculation of PPd after structural relaxation, from OQMD via LeMat-Bulk.

abc: 3.555 3.555 3.555
angles: 60.00 60.00 60.00
Fractional coordinates of all 2 atoms:
P: 0.000 0.000 0.000
Pd: 0.500 0.500 0.500

Results
calculated density	7.2	Mg/m³
symmetry	Fm-3m
E	-5.37	eV/atom

=====

(2)
The following is a PBE calculation of P2Pd after structural relaxation, from OQMD via LeMat-Bulk.

abc: 7.287 3.206 8.256
angles: 90.00 90.00 90.00
Fractional coordinates of all 12 atoms:
P: 0.037 0.250 0.155
P: 0.037 0.750 0.344
P: 0.463 0.250 0.844
P: 0.463 0.750 0.655
P: 0.537 0.250 0.345
P: 0.537 0.750 0.156
P: 0.963 0.250 0.656
P: 0.963 0.750 0.845
Pd: 0.250 0.250 0.500
Pd: 0.250 0.750 0.000
Pd: 0.750 0.250 0.000
Pd: 0.750 0.750 0.500

Results
calculated density	5.8	Mg/m³
symmetry	Pnma
E	-5.49	eV/atom

=====

(3)
The following is a PBE calculation of P4Pd after structural relaxation, from OQMD via LeMat-Bulk.

abc: 6.177 6.177 6.345
angles: 99.75 99.75 128.34
Fractional coordinates of all 10 atoms:
P: 0.019 0.533 0.185
P: 0.146 0.300 0.319
P: 0.300 0.146 0.819
P: 0.467 0.981 0.315
P: 0.533 0.019 0.685
P: 0.700 0.854 0.181
P: 0.854 0.700 0.681
P: 0.981 0.467 0.815
Pd: 0.412 0.588 0.750
Pd: 0.588 0.412 0.250

Results
calculated density	4.4	Mg/m³
symmetry	C2/c
E	-5.51	eV/atom

=====

(4)
The following is a PBE calculation of P3Pd after structural relaxation, from OQMD via LeMat-Bulk.

abc: 7.111 7.111 7.111
angles: 109.47 109.47 109.47
Fractional coordinates of all 16 atoms:
P: 0.135 0.364 0.499
P: 0.135 0.636 0.771
P: 0.229 0.865 0.364
P: 0.364 0.229 0.865
P: 0.364 0.499 0.135
P: 0.499 0.135 0.364
P: 0.501 0.865 0.636
P: 0.636 0.501 0.865
P: 0.636 0.771 0.135
P: 0.771 0.135 0.636
P: 0.865 0.364 0.229
P: 0.865 0.636 0.501
Pd: 0.000 0.000 0.500
Pd: 0.000 0.500 0.000
Pd: 0.500 0.000 0.000
Pd: 0.500 0.500 0.500

Results
calculated density	4.8	Mg/m³
symmetry	Im-3
E	-5.62	eV/atom

=====

(5)
The following is a PBE calculation of Pm2P3Pd6 after structural relaxation, from OQMD via LeMat-Bulk.

abc: 7.362 7.362 4.175
angles: 90.00 90.00 120.00
Fractional coordinates of all 11 atoms:
Pm: 0.333 0.667 0.000
Pm: 0.667 0.333 0.000
P: 0.000 0.365 0.500
P: 0.365 0.000 0.500
P: 0.635 0.635 0.500
Pd: 0.000 0.213 0.000
Pd: 0.000 0.689 0.500
Pd: 0.213 0.000 0.000
Pd: 0.311 0.311 0.500
Pd: 0.689 0.000 0.500
Pd: 0.787 0.787 0.000

Results
calculated density	8.7	Mg/m³
symmetry	P-62m
E	-6.07	eV/atom

=====

(6)
The following is a PBE calculation of PmPPd after structural relaxation, from OQMD via LeMat-Bulk.

abc: 4.199 4.199 3.954
angles: 90.00 90.00 120.00
Fractional coordinates of all 3 atoms:
Pm: 0.000 0.000 0.000
P: 0.667 0.333 0.500
Pd: 0.333 0.667 0.500

Results
calculated density	7.8	Mg/m³
symmetry	P-6m2
E	-6.36	eV/atom

=====

(7)
The following is a PBE calculation of PmPPd2 after structural relaxation, from OQMD via LeMat-Bulk.

abc: 8.557 8.557 8.557
angles: 149.94 149.94 43.04
Fractional coordinates of all 8 atoms:
Pm: 0.124 0.124 0.000
Pm: 0.876 0.876 0.000
P: 0.250 0.750 0.500
P: 0.750 0.250 0.500
Pd: 0.000 0.500 0.500
Pd: 0.323 0.323 0.000
Pd: 0.500 0.000 0.500
Pd: 0.677 0.677 0.000

Results
calculated density	8.2	Mg/m³
symmetry	I4/mmm
E	-5.75	eV/atom

=====

(8)
The following is a PBE calculation of PrPPd after structural relaxation, from OQMD via LeMat-Bulk.

abc: 4.243 4.243 7.988
angles: 90.00 90.00 120.00
Fractional coordinates of all 6 atoms:
Pr: 0.000 0.000 0.000
Pr: 0.000 0.000 0.500
P: 0.333 0.667 0.250
P: 0.667 0.333 0.750
Pd: 0.333 0.667 0.750
Pd: 0.667 0.333 0.250

Results
calculated density	7.4	Mg/m³
symmetry	P6_3/mmc
E	-6.36	eV/atom

=====

(9)
The following is a PBE calculation of PrP2Pd4 after structural relaxation, from OQMD via LeMat-Bulk.

abc: 7.761 7.761 3.900
angles: 90.00 90.00 90.00
Fractional coordinates of all 14 atoms:
Pr: 0.000 0.000 0.000
Pr: 0.500 0.500 0.500
P: 0.222 0.222 0.500
P: 0.278 0.722 0.000
P: 0.722 0.278 0.000
P: 0.778 0.778 0.500
Pd: 0.085 0.667 0.500
Pd: 0.167 0.415 0.000
Pd: 0.333 0.915 0.500
Pd: 0.415 0.167 0.000
Pd: 0.585 0.833 0.000
Pd: 0.667 0.085 0.500
Pd: 0.833 0.585 0.000
Pd: 0.915 0.333 0.500

Results
calculated density	8.9	Mg/m³
symmetry	P4_2/mnm
E	-6.01	eV/atom

=====

(10)
The following is a PBE calculation of Pr3P4Pd4 after structural relaxation, from OQMD via LeMat-Bulk.

abc: 12.627 12.627 12.627
angles: 161.07 161.01 26.93
Fractional coordinates of all 11 atoms:
Pr: 0.000 0.000 0.000
Pr: 0.351 0.851 0.500
Pr: 0.649 0.149 0.500
P: 0.192 0.692 0.500
P: 0.453 0.453 0.000
P: 0.547 0.547 0.000
P: 0.808 0.308 0.500
Pd: 0.095 0.595 0.500
Pd: 0.251 0.251 0.000
Pd: 0.749 0.749 0.000
Pd: 0.905 0.405 0.500

Results
calculated density	7.6	Mg/m³
symmetry	Immm
E	-6.27	eV/atom

=====

(11)
The following is a PBE calculation of PrPPd after structural relaxation, from OQMD via LeMat-Bulk.

abc: 5.006 5.006 5.872
angles: 90.00 90.00 120.00
Fractional coordinates of all 6 atoms:
Pr: 0.333 0.667 0.250
Pr: 0.667 0.333 0.750
P: 0.333 0.667 0.750
P: 0.667 0.333 0.250
Pd: 0.000 0.000 0.000
Pd: 0.000 0.000 0.500

Results
calculated density	7.3	Mg/m³
symmetry	P6_3/mmc
E	-5.92	eV/atom

=====

(12)
The following is a PBE calculation of PrP2Pd3 after structural relaxation, from OQMD via LeMat-Bulk.

abc: 4.142 4.142 7.096
angles: 90.00 90.00 120.00
Fractional coordinates of all 6 atoms:
Pr: 0.000 0.000 0.000
P: 0.333 0.667 0.730
P: 0.667 0.333 0.270
Pd: 0.000 0.000 0.500
Pd: 0.333 0.667 0.310
Pd: 0.667 0.333 0.690

Results
calculated density	8.2	Mg/m³
symmetry	P-3m1
E	-5.97	eV/atom

=====

Q: What is the E in the tenth record?
A: -6.27 eV/atom